No. 1
Computed, not measured: LiMg2Pb at its PBEsol-relaxed geometry at the meta-GGA SCAN level of DFT.

Structure (POSCAR):
```
LiMg2Pb
1.0
3.788 0.000 0.000
0.000 3.788 0.000
0.000 0.000 6.266
Li Mg Pb
1 2 1
Direct
0.000 0.000 0.000
0.500 0.500 0.241
0.500 0.500 0.759
0.000 0.000 0.500
```

ρ	4.85	g/cm3
space-group type	P4/mmm (123)
energy of formation	-0.188	eV/atom

No. 2
Computed, not measured: Ag3Te at its PBEsol-relaxed geometry at the meta-GGA SCAN level of DFT.

Structure (POSCAR):
```
Ag3Te
1.0
3.259 0.000 0.000
0.000 4.513 0.000
0.000 0.000 5.361
Ag Te
3 1
Direct
0.000 0.000 0.000
0.000 0.500 0.316
0.500 0.000 0.438
0.500 0.500 0.790
```

ρ	9.50	g/cm3
space-group type	Pmm2 (25)
final energy	-32.72	eV/atom

No. 3
Computed, not measured: NdErMg2 at its PBEsol-relaxed geometry at the meta-GGA SCAN level of DFT.

Structure (POSCAR):
```
NdErMg2
1.0
0.000 3.771 3.771
3.771 0.000 3.771
3.771 3.771 0.000
Nd Er Mg
1 1 2
Direct
0.000 0.000 0.000
0.500 0.500 0.500
0.250 0.250 0.250
0.750 0.750 0.750
```

ρ	5.57	g/cm3
space-group type	Fm-3m (225)
energy of formation	-0.091	eV/atom

No. 4
Computed, not measured: BaInTe2 at its PBEsol-relaxed geometry at the meta-GGA SCAN level of DFT.

Structure (POSCAR):
```
BaInTe2
1.0
-3.513 3.513 7.784
3.513 -3.513 7.784
3.513 3.513 -7.784
Ba In Te
2 2 4
Direct
0.000 0.000 0.000
0.750 0.250 0.500
0.250 0.750 0.500
0.500 0.500 0.000
0.179 0.625 0.054
0.375 0.429 0.554
0.571 0.125 0.946
0.875 0.821 0.446
```

ρ	4.38	g/cm3
space-group type	I-42d (122)
final energy	-37.74	eV/atom

No. 5
Computed, not measured: CrPPtW2 at its PBEsol-relaxed geometry at the meta-GGA SCAN level of DFT.

Structure (POSCAR):
```
CrPPtW2
1.0
4.474 0.000 0.000
0.000 4.474 0.000
0.000 0.000 4.072
Cr P Pt W
1 1 1 2
Direct
0.000 0.000 0.000
0.000 0.000 0.500
0.500 0.500 0.500
0.000 0.500 0.000
0.500 0.000 0.000
```

ρ	13.16	g/cm3
space-group type	P4/mmm (123)
energy of formation	1.303	eV/atom

No. 6
Computed, not measured: ZnRu2Au at its PBEsol-relaxed geometry at the meta-GGA SCAN level of DFT.

Structure (POSCAR):
```
ZnRu2Au
1.0
1.364 0.787 8.823
-1.364 0.787 8.823
0.000 -1.575 8.823
Zn Ru Au
1 2 1
Direct
0.000 0.000 0.000
0.254 0.254 0.254
0.746 0.746 0.746
0.500 0.500 0.500
```

ρ	13.57	g/cm3
space-group type	R-3m (166)
energy of formation	0.265	eV/atom

No. 7
Computed, not measured: Ba2InAg2 at its PBEsol-relaxed geometry at the meta-GGA SCAN level of DFT.

Structure (POSCAR):
```
Ba2InAg2
1.0
-1.956 1.956 10.180
1.956 -1.956 10.180
1.956 1.956 -10.180
Ba In Ag
2 1 2
Direct
0.112 0.112 0.000
0.888 0.888 0.000
0.500 0.500 0.000
0.250 0.750 0.500
0.750 0.250 0.500
```

ρ	6.45	g/cm3
space-group type	I4/mmm (139)
energy of formation	-0.241	eV/atom

No. 8
Computed, not measured: Fe2RePt at its PBEsol-relaxed geometry at the meta-GGA SCAN level of DFT.

Structure (POSCAR):
```
Fe2RePt
1.0
1.334 0.770 8.496
-1.334 0.770 8.496
0.000 -1.540 8.496
Fe Re Pt
2 1 1
Direct
0.249 0.249 0.249
0.751 0.751 0.751
0.500 0.500 0.500
0.000 0.000 0.000
```

ρ	15.63	g/cm3
space-group type	R-3m (166)
energy of formation	-0.026	eV/atom

| no. | magnetic moment (Bohr magnetons per cell) |
| --- | --- |
| 1 | 0.000 |
| 2 | 0.000 |
| 3 | 0.000 |
| 4 | 0.000 |
| 5 | 0.000 |
| 6 | 2.163 |
| 7 | 0.000 |
| 8 | 5.500 |